# 1
Sr3Ag5H12 | GGA-PBE | optimized geometry

Unit cell a=11.066 b=11.066 c=11.066 alpha=109.47 beta=109.47 gamma=109.47
Fractional positions:
Sr 0.125 0.250 0.375
Sr 0.125 0.375 0.750
Sr 0.250 0.375 0.125
Sr 0.250 0.875 0.625
Sr 0.375 0.125 0.250
Sr 0.375 0.750 0.125
Sr 0.625 0.250 0.875
Sr 0.625 0.875 0.750
Sr 0.750 0.125 0.375
Sr 0.750 0.625 0.875
Sr 0.875 0.625 0.250
Sr 0.875 0.750 0.625
Ag 0.000 0.000 0.000
Ag 0.000 0.000 0.500
Ag 0.000 0.500 0.000
Ag 0.000 0.500 0.500
Ag 0.125 0.750 0.875
Ag 0.125 0.875 0.250
Ag 0.250 0.125 0.875
Ag 0.250 0.625 0.375
Ag 0.375 0.250 0.625
Ag 0.375 0.625 0.750
Ag 0.500 0.000 0.000
Ag 0.500 0.000 0.500
Ag 0.500 0.500 0.000
Ag 0.500 0.500 0.500
Ag 0.625 0.375 0.250
Ag 0.625 0.750 0.375
Ag 0.750 0.375 0.625
Ag 0.750 0.875 0.125
Ag 0.875 0.125 0.750
Ag 0.875 0.250 0.125
H 0.021 0.200 0.119
H 0.021 0.321 0.902
H 0.081 0.700 0.679
H 0.081 0.881 0.402
H 0.098 0.619 0.419
H 0.098 0.979 0.679
H 0.119 0.021 0.200
H 0.119 0.598 0.919
H 0.179 0.200 0.581
H 0.179 0.479 0.598
H 0.200 0.119 0.021
H 0.200 0.581 0.179
H 0.300 0.321 0.919
H 0.300 0.479 0.381
H 0.321 0.902 0.021
H 0.321 0.919 0.300
H 0.381 0.300 0.479
H 0.381 0.581 0.902
H 0.402 0.081 0.881
H 0.402 0.821 0.521
H 0.419 0.098 0.619
H 0.419 0.821 0.800
H 0.479 0.381 0.300
H 0.479 0.598 0.179
H 0.521 0.402 0.821
H 0.521 0.619 0.700
H 0.581 0.179 0.200
H 0.581 0.902 0.381
H 0.598 0.179 0.479
H 0.598 0.919 0.119
H 0.619 0.419 0.098
H 0.619 0.700 0.521
H 0.679 0.081 0.700
H 0.679 0.098 0.979
H 0.700 0.521 0.619
H 0.700 0.679 0.081
H 0.800 0.419 0.821
H 0.800 0.881 0.979
H 0.821 0.521 0.402
H 0.821 0.800 0.419
H 0.881 0.402 0.081
H 0.881 0.979 0.800
H 0.902 0.021 0.321
H 0.902 0.381 0.581
H 0.919 0.119 0.598
H 0.919 0.300 0.321
H 0.979 0.679 0.098
H 0.979 0.800 0.881

Values from the calculation:
Its mass density is 5.18 g/cm3. The value obtained for the density of states at the Fermi level is 15.3 states/eV/cell. As for the space group: Ia-3d (230). The raw total energy comes out at -3.055 eV per atom.

---

# 2
SrAg3H | GGA-PBE | optimized geometry

Unit cell a=4.602 b=4.602 c=4.602 alpha=90.00 beta=90.00 gamma=90.00
Fractional positions:
Sr 0.000 0.000 0.000
Ag 0.000 0.500 0.500
Ag 0.500 0.000 0.500
Ag 0.500 0.500 0.000
H 0.500 0.500 0.500

Values from the calculation:
Its mass density is 7.03 g/cm3. The value obtained for the density of states at the Fermi level is 2.0 states/eV/cell. As for the space group: Pm-3m (221). The raw total energy comes out at -2.533 eV per atom.

---

# 3
SrAgH2 | GGA-PBE | optimized geometry

Unit cell a=5.311 b=5.311 c=5.311 alpha=47.30 beta=47.30 gamma=47.30
Fractional positions:
Sr 0.000 0.000 0.000
Ag 0.500 0.500 0.500
H 0.378 0.378 0.378
H 0.622 0.622 0.622

Values from the calculation:
Its mass density is 4.43 g/cm3. The value obtained for the density of states at the Fermi level is 1.7 states/eV/cell. As for the polymorph energy (0 for the lowest one): 0 meV per atom. As for the space group: R-3m (166). The raw total energy comes out at -3.028 eV per atom.

---

# 4
Sr2AgH | GGA-PBE | optimized geometry

Unit cell a=9.604 b=9.604 c=9.604 alpha=23.45 beta=23.45 gamma=23.45
Fractional positions:
Sr 0.111 0.111 0.111
Sr 0.889 0.889 0.889
Ag 0.000 0.000 0.000
H 0.500 0.500 0.500

Values from the calculation:
Its mass density is 3.83 g/cm3. The value obtained for the density of states at the Fermi level is 2.5 states/eV/cell. As for the polymorph energy (0 for the lowest one): 371 meV per atom. As for the space group: R-3m (166). The raw total energy comes out at -2.215 eV per atom.

---

# 5
SrAg2H2 | GGA-PBE | optimized geometry

Unit cell a=5.493 b=5.493 c=5.493 alpha=135.91 beta=135.91 gamma=64.12
Fractional positions:
Sr 0.000 0.000 0.000
Ag 0.347 0.347 0.000
Ag 0.653 0.653 0.000
H 0.250 0.750 0.500
H 0.750 0.250 0.500

Values from the calculation:
Its mass density is 6.41 g/cm3. The value obtained for the density of states at the Fermi level is 0.2 states/eV/cell. As for the space group: I4/mmm (139). The raw total energy comes out at -2.829 eV per atom.

---

# 6
Sr2AgH | GGA-PBE | optimized geometry

Unit cell a=6.706 b=6.706 c=6.706 alpha=113.12 beta=113.12 gamma=102.39
Fractional positions:
Sr 0.046 0.625 0.921
Sr 0.375 0.296 0.421
Sr 0.704 0.125 0.079
Sr 0.875 0.954 0.579
Ag 0.250 0.750 0.500
Ag 0.500 0.500 0.000
H 0.000 0.000 0.000
H 0.750 0.250 0.500

Values from the calculation:
Its mass density is 4.11 g/cm3. The value obtained for the density of states at the Fermi level is 7.0 states/eV/cell. As for the polymorph energy (0 for the lowest one): 0 meV per atom. As for the space group: I-42d (122). The raw total energy comes out at -2.586 eV per atom.

---

# 7
SrAgH2 | GGA-PBE | optimized geometry

Unit cell a=6.721 b=6.721 c=6.721 alpha=138.72 beta=138.72 gamma=59.79
Fractional positions:
Sr 0.000 0.000 0.000
Sr 0.750 0.250 0.500
Ag 0.250 0.750 0.500
Ag 0.500 0.500 0.000
H 0.249 0.625 0.124
H 0.375 0.499 0.624
H 0.501 0.125 0.876
H 0.875 0.751 0.376

Values from the calculation:
Its mass density is 5.01 g/cm3. The value obtained for the density of states at the Fermi level is 3.3 states/eV/cell. As for the polymorph energy (0 for the lowest one): 173 meV per atom. As for the space group: I-42d (122). The raw total energy comes out at -2.855 eV per atom.

---

# 8
Sr12Ag3H5 | GGA-PBE | optimized geometry

Unit cell a=14.887 b=14.887 c=14.887 alpha=109.47 beta=109.47 gamma=109.47
Fractional positions:
Sr 0.021 0.210 0.119
Sr 0.021 0.311 0.902
Sr 0.091 0.710 0.689
Sr 0.091 0.881 0.402
Sr 0.098 0.619 0.409
Sr 0.098 0.979 0.689
Sr 0.119 0.021 0.210
Sr 0.119 0.598 0.909
Sr 0.189 0.210 0.591
Sr 0.189 0.479 0.598
Sr 0.210 0.119 0.021
Sr 0.210 0.591 0.189
Sr 0.290 0.311 0.909
Sr 0.290 0.479 0.381
Sr 0.311 0.902 0.021
Sr 0.311 0.909 0.290
Sr 0.381 0.290 0.479
Sr 0.381 0.591 0.902
Sr 0.402 0.091 0.881
Sr 0.402 0.811 0.521
Sr 0.409 0.098 0.619
Sr 0.409 0.811 0.790
Sr 0.479 0.381 0.290
Sr 0.479 0.598 0.189
Sr 0.521 0.402 0.811
Sr 0.521 0.619 0.710
Sr 0.591 0.189 0.210
Sr 0.591 0.902 0.381
Sr 0.598 0.189 0.479
Sr 0.598 0.909 0.119
Sr 0.619 0.409 0.098
Sr 0.619 0.710 0.521
Sr 0.689 0.091 0.710
Sr 0.689 0.098 0.979
Sr 0.710 0.521 0.619
Sr 0.710 0.689 0.091
Sr 0.790 0.409 0.811
Sr 0.790 0.881 0.979
Sr 0.811 0.521 0.402
Sr 0.811 0.790 0.409
Sr 0.881 0.402 0.091
Sr 0.881 0.979 0.790
Sr 0.902 0.021 0.311
Sr 0.902 0.381 0.591
Sr 0.909 0.119 0.598
Sr 0.909 0.290 0.311
Sr 0.979 0.689 0.098
Sr 0.979 0.790 0.881
Ag 0.125 0.250 0.375
Ag 0.125 0.375 0.750
Ag 0.250 0.375 0.125
Ag 0.250 0.875 0.625
Ag 0.375 0.125 0.250
Ag 0.375 0.750 0.125
Ag 0.625 0.250 0.875
Ag 0.625 0.875 0.750
Ag 0.750 0.125 0.375
Ag 0.750 0.625 0.875
Ag 0.875 0.625 0.250
Ag 0.875 0.750 0.625
H 0.000 0.000 0.000
H 0.000 0.000 0.500
H 0.000 0.500 0.000
H 0.000 0.500 0.500
H 0.125 0.750 0.875
H 0.125 0.875 0.250
H 0.250 0.125 0.875
H 0.250 0.625 0.375
H 0.375 0.250 0.625
H 0.375 0.625 0.750
H 0.500 0.000 0.000
H 0.500 0.000 0.500
H 0.500 0.500 0.000
H 0.500 0.500 0.500
H 0.625 0.375 0.250
H 0.625 0.750 0.375
H 0.750 0.375 0.625
H 0.750 0.875 0.125
H 0.875 0.125 0.750
H 0.875 0.250 0.125

Values from the calculation:
Its mass density is 3.61 g/cm3. The value obtained for the density of states at the Fermi level is 46.5 states/eV/cell. As for the space group: Ia-3d (230). The raw total energy comes out at -2.525 eV per atom.

---

# 9
SrAg2H | GGA-PBE | optimized geometry

Unit cell a=5.065 b=5.065 c=5.065 alpha=60.00 beta=60.00 gamma=60.00
Fractional positions:
Sr 0.000 0.000 0.000
Ag 0.250 0.250 0.250
Ag 0.750 0.750 0.750
H 0.500 0.500 0.500

Values from the calculation:
Its mass density is 5.50 g/cm3. The value obtained for the density of states at the Fermi level is 1.6 states/eV/cell. As for the polymorph energy (0 for the lowest one): 417 meV per atom. As for the space group: Fm-3m (225). The raw total energy comes out at -2.230 eV per atom.

---

# 10
Sr2AgH | GGA-PBE | optimized geometry

Unit cell a=7.963 b=7.963 c=7.963 alpha=30.08 beta=30.08 gamma=30.08
Fractional positions:
Sr 0.000 0.000 0.000
Sr 0.194 0.194 0.194
Ag 0.765 0.765 0.765
H 0.591 0.591 0.591

Values from the calculation:
Its mass density is 4.20 g/cm3. The value obtained for the density of states at the Fermi level is 2.4 states/eV/cell. As for the polymorph energy (0 for the lowest one): 32 meV per atom. As for the space group: R3m (160). The raw total energy comes out at -2.554 eV per atom.

---

# 11
SrAg2H | GGA-PBE | optimized geometry

Unit cell a=6.177 b=6.177 c=6.177 alpha=120.41 beta=120.41 gamma=89.30
Fractional positions:
Sr 0.375 0.625 0.750
Sr 0.625 0.375 0.250
Ag 0.000 0.000 0.000
Ag 0.000 0.000 0.500
Ag 0.000 0.500 0.000
Ag 0.500 0.000 0.500
H 0.125 0.875 0.250
H 0.875 0.125 0.750

Values from the calculation:
Its mass density is 6.10 g/cm3. The value obtained for the density of states at the Fermi level is 2.5 states/eV/cell. As for the polymorph energy (0 for the lowest one): 0 meV per atom. As for the space group: I4_1/amd (141). The raw total energy comes out at -2.648 eV per atom.

---

# 12
SrAgH2 | GGA-PBE | optimized geometry

Unit cell a=4.438 b=4.438 c=4.438 alpha=60.00 beta=60.00 gamma=60.00
Fractional positions:
Sr 0.000 0.000 0.000
Ag 0.500 0.500 0.500
H 0.250 0.250 0.250
H 0.750 0.750 0.750

Values from the calculation:
Its mass density is 5.30 g/cm3. The value obtained for the density of states at the Fermi level is 0.6 states/eV/cell. As for the polymorph energy (0 for the lowest one): 161 meV per atom. As for the space group: Fm-3m (225). The raw total energy comes out at -2.867 eV per atom.

---

# 13
Sr2AgH | GGA-PBE | optimized geometry

Unit cell a=5.410 b=5.410 c=5.410 alpha=60.00 beta=60.00 gamma=60.00
Fractional positions:
Sr 0.250 0.250 0.250
Sr 0.750 0.750 0.750
Ag 0.000 0.000 0.000
H 0.500 0.500 0.500

Values from the calculation:
Its mass density is 4.21 g/cm3. The value obtained for the density of states at the Fermi level is 4.5 states/eV/cell. As for the polymorph energy (0 for the lowest one): 202 meV per atom. As for the space group: Fm-3m (225). The raw total energy comes out at -2.384 eV per atom.

---

# 14
Sr2AgH6 | GGA-PBE | optimized geometry

Unit cell a=7.347 b=7.347 c=7.347 alpha=148.52 beta=148.52 gamma=45.12
Fractional positions:
Sr 0.150 0.150 0.000
Sr 0.850 0.850 0.000
Ag 0.500 0.500 0.000
H 0.000 0.500 0.500
H 0.250 0.750 0.500
H 0.370 0.370 0.000
H 0.500 0.000 0.500
H 0.630 0.630 0.000
H 0.750 0.250 0.500

Values from the calculation:
Its mass density is 4.45 g/cm3. The value obtained for the density of states at the Fermi level is 1.6 states/eV/cell. As for the space group: I4/mmm (139). The raw total energy comes out at -3.226 eV per atom.

---

# 15
SrAgTe2H | GGA-PBE | optimized geometry

Unit cell a=5.801 b=5.801 c=3.723 alpha=90.00 beta=90.00 gamma=90.00
Fractional positions:
Sr 0.000 0.000 0.000
Ag 0.500 0.500 0.500
Te 0.000 0.500 0.500
Te 0.500 0.000 0.500
H 0.500 0.500 0.000

Values from the calculation:
Its mass density is 5.99 g/cm3. The value obtained for the density of states at the Fermi level is 2.3 states/eV/cell. As for the space group: P4/mmm (123). The raw total energy comes out at -3.261 eV per atom.

---

# 16
Sr2TlAgH | GGA-PBE | optimized geometry

Unit cell a=5.570 b=5.570 c=4.093 alpha=90.00 beta=90.00 gamma=90.00
Fractional positions:
Sr 0.000 0.500 0.000
Sr 0.500 0.000 0.000
Tl 0.000 0.000 0.500
Ag 0.500 0.500 0.500
H 0.500 0.500 0.000

Values from the calculation:
Its mass density is 6.39 g/cm3. The value obtained for the density of states at the Fermi level is 2.1 states/eV/cell. As for the polymorph energy (0 for the lowest one): 0 meV per atom. As for the space group: P4/mmm (123). The raw total energy comes out at -2.708 eV per atom.

---

# 17
Sr2TlAgH | GGA-PBE | optimized geometry

Unit cell a=5.284 b=5.284 c=4.646 alpha=90.00 beta=90.00 gamma=90.00
Fractional positions:
Sr 0.000 0.500 0.000
Sr 0.500 0.000 0.000
Tl 0.000 0.000 0.500
Ag 0.500 0.500 0.500
H 0.000 0.000 0.000

Values from the calculation:
Its mass density is 6.25 g/cm3. The value obtained for the density of states at the Fermi level is 2.8 states/eV/cell. As for the polymorph energy (0 for the lowest one): 102 meV per atom. As for the space group: P4/mmm (123). The raw total energy comes out at -2.606 eV per atom.

---

# 18
Sr2ZnAgH6 | GGA-PBE | optimized geometry

Unit cell a=5.810 b=5.810 c=5.810 alpha=124.55 beta=124.55 gamma=82.28
Fractional positions:
Sr 0.000 0.500 0.500
Sr 0.500 0.000 0.500
Zn 0.221 0.221 0.000
Ag 0.751 0.751 0.000
H 0.420 0.420 0.000
H 0.431 0.431 0.485
H 0.431 0.946 0.000
H 0.946 0.431 0.000
H 0.946 0.946 0.515
H 0.959 0.959 0.000

Values from the calculation:
Its mass density is 4.60 g/cm3. The value obtained for the density of states at the Fermi level is 1.4 states/eV/cell. As for the space group: I4mm (107). The raw total energy comes out at -2.962 eV per atom.

---

# 19
TaAg2H2 | GGA-PBE | optimized geometry

Unit cell a=5.337 b=5.337 c=4.452 alpha=90.00 beta=90.00 gamma=90.00
Fractional positions:
Ta 0.000 0.000 0.000
Ta 0.500 0.500 0.000
Ag 0.182 0.318 0.500
Ag 0.318 0.818 0.500
Ag 0.682 0.182 0.500
Ag 0.818 0.682 0.500
H 0.183 0.317 0.000
H 0.317 0.817 0.000
H 0.683 0.183 0.000
H 0.817 0.683 0.000

Values from the calculation:
Its mass density is 10.44 g/cm3. The value obtained for the density of states at the Fermi level is 4.3 states/eV/cell. As for the polymorph energy (0 for the lowest one): 0 meV per atom. As for the space group: P4/mbm (127). The raw total energy comes out at -4.497 eV per atom.